## Cs2TbGeTe4 (GGA-PBE)

Data for Cs2TbGeTe4 after structural relaxation.

The uncorrected formation energy comes out at -826 meV per atom. As for the symmetry: No. 70.

Cell: 7.0582 8.6608 14.4166 Å, 84.28 75.83 65.95°
Last column: nearest neighbours and their distance in Å.
Sites, in units of the cell vectors:
Te1 0.8909 0.7920 0.8905  1 Ge 2.78, 1 Tb 2.94
Te2 0.3170 0.7920 0.1095  1 Ge 2.78, 1 Tb 2.94
Te3 0.8591 0.7080 0.6095  1 Ge 2.78, 1 Tb 2.94
Te4 0.5314 0.2920 0.6095  1 Ge 2.78, 1 Tb 2.94
Te5 0.4330 0.7080 0.3905  1 Ge 2.78, 1 Tb 2.94
Te6 0.2186 0.2080 0.8905  1 Ge 2.78, 1 Tb 2.94
Te7 0.5734 0.2080 0.1095  1 Ge 2.78, 1 Tb 2.94
Te8 0.1766 0.2920 0.3905  1 Ge 2.78, 1 Tb 2.94
Cs1 0.1813 0.0000 0.6374  8 Te 4.13-4.34
Cs2 0.8187 0.0000 0.3626  8 Te 4.13-4.34
Cs3 0.9313 0.5000 0.1374  8 Te 4.13-4.34
Cs4 0.5687 0.5000 0.8626  8 Te 4.13-4.34
Ge1 0.2500 0.5000 0.5000  4 Te 2.78
Ge2 0.5000 0.0000 0.0000  4 Te 2.78
Tb1 0.0000 0.0000 0.0000  4 Te 2.94
Tb2 0.7500 0.5000 0.5000  4 Te 2.94